(1)
DFT (PBE-GGA) results for a geometry-optimized LaPW2 structure.

Cell and atoms, written as extended XYZ:
```
4
Lattice="1.6536 0.9547 8.3662 -1.6536 0.9547 8.3662 0.0000 -1.9094 8.3662" Properties=species:S:1:pos:R:3 pbc="T T T"
La 0.0000 0.0000 0.0000
P 0.0000 0.0000 6.0153
W 0.0000 0.0000 12.8060
W 0.0000 0.0000 19.2863
```

Results
- ΔE to the lowest computed polymorph (eV/f.u.) = 1.278
- formation energy (eV/atom) = 0.252
- space group = No. 160
- theoretical density (g cm⁻³) = 11.3

(2)
DFT (PBE-GGA) results for a geometry-optimized BiTe3Cl structure.

Cell and atoms, written as extended XYZ:
```
5
Lattice="5.9258 0.0000 0.0000 0.0000 5.9258 0.0000 0.0000 0.0000 5.9258" Properties=species:S:1:pos:R:3 pbc="T T T"
Bi 0.0000 0.0000 0.0000
Te 0.0000 0.0000 2.9629
Te 0.0000 2.9629 0.0000
Te 2.9629 0.0000 0.0000
Cl 2.9629 2.9629 2.9629
```

Results
- ΔE to the lowest computed polymorph (eV/f.u.) = 0.020
- space group = No. 221
- ΔE_f (raw) (eV/atom) = 0.61
- theoretical density (g cm⁻³) = 5.0

(3)
DFT (PBE-GGA) results for a geometry-optimized NaPr2Br6 structure.

Cell and atoms, written as extended XYZ:
```
18
Lattice="5.7630 0.0000 0.0000 0.0000 7.4269 0.0000 -5.4375 0.0000 14.8644" Properties=species:S:1:pos:R:3 pbc="T T T"
Na 0.0000 0.0000 0.0000
Na -2.7187 3.7135 7.4322
Pr -1.7148 0.6962 11.1375
Pr 1.0039 3.0172 3.7053
Pr -0.6783 4.4097 11.1590
Pr 2.0404 6.7307 3.7269
Br -0.7798 0.4392 3.6063
Br -3.4985 3.2742 11.0384
Br 1.0032 5.0484 1.4950
Br -1.7156 6.0920 8.9272
Br 2.1084 1.3303 1.4778
Br -0.6103 2.3831 8.9099
Br 0.9359 5.0438 5.9544
Br -1.7828 6.0966 13.3866
Br 2.0411 1.3349 5.9371
Br -0.6776 2.3786 13.3693
Br 3.8241 4.1527 3.8259
Br 1.1053 6.9877 11.2581
```

Results
- ΔE to the lowest computed polymorph (eV/f.u.) = 0.048
- space group = No. 14
- ΔE_f (raw) (eV/atom) = -1.69
- theoretical density (g cm⁻³) = 4.1

(4)
DFT (PBE-GGA) results for a geometry-optimized BaY2Mo structure.

Cell and atoms, written as extended XYZ:
```
4
Lattice="3.4586 -5.6082 0.0000 3.4586 5.6082 0.0000 -1.4994 0.0000 2.9331" Properties=species:S:1:pos:R:3 pbc="T T T"
Ba 0.0000 0.0000 0.0000
Y 0.9796 2.8041 1.4666
Y 0.9796 -2.8041 1.4666
Mo 3.4586 0.0000 0.0000
```

Results
- ΔE to the lowest computed polymorph (eV/f.u.) = 2.011
- formation energy (eV/atom) = 0.844
- space group = No. 12
- theoretical density (g cm⁻³) = 6.0

(5)
DFT (PBE-GGA) results for a geometry-optimized Ca2Ag2P structure.

Cell and atoms, written as extended XYZ:
```
5
Lattice="-1.8919 1.8919 8.4417 1.8919 -1.8919 8.4417 1.8919 1.8919 -8.4417" Properties=species:S:1:pos:R:3 pbc="T T T"
Ca 0.0000 0.0000 1.5181
Ca 0.0000 0.0000 15.3654
Ag 1.8919 0.0000 4.2209
Ag 0.0000 1.8919 4.2209
P 0.0000 0.0000 8.4417
```

Results
- ΔE to the lowest computed polymorph (eV/f.u.) = 0.000
- formation energy (eV/atom) = -0.433
- space group = No. 139
- theoretical density (g cm⁻³) = 4.5

(6)
DFT (PBE-GGA) results for a geometry-optimized Al2TlTe structure.

Cell and atoms, written as extended XYZ:
```
4
Lattice="3.3478 -3.7398 0.0000 3.3478 3.7398 0.0000 0.0000 0.0000 4.0033" Properties=species:S:1:pos:R:3 pbc="T T T"
Al 1.6739 1.8699 0.0000
Al 1.6739 -1.8699 0.0000
Tl 0.0000 0.0000 2.0017
Te 3.3478 0.0000 2.0017
```

Results
- ΔE to the lowest computed polymorph (eV/f.u.) = 0.675
- space group = No. 65
- ΔE_f (raw) (eV/atom) = 0.22
- theoretical density (g cm⁻³) = 6.4

(7)
DFT (PBE-GGA) results for a geometry-optimized La2NbO structure.

Cell and atoms, written as extended XYZ:
```
8
Lattice="-3.5541 3.5541 4.2663 3.5541 -3.5541 4.2663 3.5541 3.5541 -4.2663" Properties=species:S:1:pos:R:3 pbc="T T T"
La 5.3312 1.1007 -1.0666
La 1.1007 1.7771 1.0666
La -1.7771 2.4534 3.1997
La 2.4534 1.7771 5.3328
Nb 3.5541 0.0000 2.1331
Nb 0.0000 0.0000 4.2663
O 0.0000 0.0000 0.0000
O 0.0000 3.5541 2.1331
```

Results
- space group = No. 122
- ΔE_f (raw) (eV/atom) = -0.72
- theoretical density (g cm⁻³) = 6.0

(8)
DFT (PBE-GGA) results for a geometry-optimized MgSc2CoC structure.

Cell and atoms, written as extended XYZ:
```
5
Lattice="4.6519 0.0000 0.0000 0.0000 4.6519 0.0000 0.0000 0.0000 3.6897" Properties=species:S:1:pos:R:3 pbc="T T T"
Mg 0.0000 0.0000 0.0000
Sc 0.0000 2.3259 1.8448
Sc 2.3259 0.0000 1.8448
Co 2.3259 2.3259 0.0000
C 2.3259 2.3259 1.8448
```

Results
- formation energy (eV/atom) = -0.278
- space group = No. 123
- theoretical density (g cm⁻³) = 3.9

(9)
DFT (PBE-GGA) results for a geometry-optimized ZrMo3S structure.

Cell and atoms, written as extended XYZ:
```
5
Lattice="4.8424 0.0000 0.0000 0.0000 4.8424 0.0000 0.0000 0.0000 4.8424" Properties=species:S:1:pos:R:3 pbc="T T T"
Zr 0.0000 0.0000 0.0000
Mo 0.0000 0.0000 2.4212
Mo 0.0000 2.4212 0.0000
Mo 2.4212 0.0000 0.0000
S 2.4212 2.4212 2.4212
```

Results
- ΔE to the lowest computed polymorph (eV/f.u.) = 10.673
- space group = No. 221
- ΔE_f (raw) (eV/atom) = 2.33
- theoretical density (g cm⁻³) = 6.0

(10)
DFT (PBE-GGA) results for a geometry-optimized Ac6GeIr2 structure.

Cell and atoms, written as extended XYZ:
```
9
Lattice="7.2139 -2.8854 0.0000 7.2139 2.8854 0.0000 -5.2975 0.0000 8.5365" Properties=species:S:1:pos:R:3 pbc="T T T"
Ac -0.7309 0.0000 1.7615
Ac -0.5806 0.0000 7.6288
Ac 2.8007 0.0000 3.7417
Ac 6.3295 0.0000 4.7948
Ac 9.7108 0.0000 0.9077
Ac 9.8611 0.0000 6.7749
Ge -2.6488 0.0000 4.2682
Ir 2.1230 0.0000 0.8584
Ir 7.0071 0.0000 7.6781
```

Results
- formation energy (eV/atom) = -0.420
- space group = No. 12
- theoretical density (g cm⁻³) = 8.5

(11)
DFT (PBE-GGA) results for a geometry-optimized Cd2CoPb structure.

Cell and atoms, written as extended XYZ:
```
4
Lattice="1.5906 0.9184 9.9250 -1.5906 0.9184 9.9250 0.0000 -1.8367 9.9250" Properties=species:S:1:pos:R:3 pbc="T T T"
Cd 0.0000 0.0000 6.9648
Cd 0.0000 0.0000 22.8102
Co 0.0000 0.0000 14.8875
Pb 0.0000 0.0000 0.0000
```

Results
- formation energy (eV/atom) = 0.332
- space group = No. 166
- theoretical density (g cm⁻³) = 9.4

(12)
DFT (PBE-GGA) results for a geometry-optimized ZnOs2W structure.

Cell and atoms, written as extended XYZ:
```
4
Lattice="2.7187 0.0000 0.0000 0.0000 4.4072 0.0000 -0.4156 0.0000 4.9377" Properties=species:S:1:pos:R:3 pbc="T T T"
Zn 0.0000 0.0000 0.0000
Os 0.3026 2.2036 3.7724
Os 2.0005 2.2036 1.1653
W 1.1515 0.0000 2.4688
```

Results
- formation energy (eV/atom) = 0.307
- space group = No. 10
- theoretical density (g cm⁻³) = 17.7

(13)
DFT (PBE-GGA) results for a geometry-optimized CaLaSm2Te4 structure.

Cell and atoms, written as extended XYZ:
```
8
Lattice="7.7977 0.0000 0.0000 0.0000 4.4650 0.0000 -2.5506 0.0000 7.3738" Properties=species:S:1:pos:R:3 pbc="T T T"
Ca 0.0000 0.0000 0.0000
La -1.2753 2.2325 3.6869
Sm 2.6236 0.0000 3.6869
Sm 3.8989 2.2325 0.0000
Te 1.3365 2.2325 1.8127
Te 0.0558 0.0000 5.5828
Te 5.1913 0.0000 1.7910
Te 3.9106 2.2325 5.5611
```

Results
- space group = No. 10
- ΔE_f (raw) (eV/atom) = -1.49
- theoretical density (g cm⁻³) = 6.4

(14)
DFT (PBE-GGA) results for a geometry-optimized HoTlAu structure.

Cell and atoms, written as extended XYZ:
```
3
Lattice="4.8876 0.0000 0.0000 -2.4438 4.2328 0.0000 0.0000 0.0000 3.4183" Properties=species:S:1:pos:R:3 pbc="T T T"
Ho 0.0000 0.0000 0.0000
Tl 0.0000 2.8219 1.7091
Au 2.4438 1.4109 1.7091
```

Results
- formation energy (eV/atom) = -0.483
- space group = No. 187
- theoretical density (g cm⁻³) = 13.3

(15)
DFT (PBE-GGA) results for a geometry-optimized NaGdP4O12 structure.

Cell and atoms, written as extended XYZ:
```
72
Lattice="7.2833 0.0000 0.0000 0.0000 13.2957 0.0000 -7.2079 0.0000 9.9245" Properties=species:S:1:pos:R:3 pbc="T T T"
Na 0.0075 2.9684 0.6233
Na -3.5964 3.6795 5.5856
Na 3.6718 9.6162 4.3389
Na 0.0679 10.3273 9.3011
Gd -3.6556 2.9543 9.7092
Gd -0.0516 3.6936 4.7469
Gd 0.1270 9.6021 5.1775
Gd 3.7310 10.3414 0.2153
P -1.8087 8.0097 2.5508
P -5.4126 11.9338 7.5131
P -4.4908 8.1727 7.2868
P -0.8868 11.7708 2.3246
P 1.0716 8.3314 1.9600
P -2.5323 11.6122 6.9223
P -1.8993 1.2276 6.9931
P 1.7047 5.4202 2.0309
P -1.6293 7.8755 7.8936
P 1.9747 12.0680 2.9313
P 2.6077 1.6835 3.0022
P -0.9962 4.9643 7.9644
P 0.9622 1.5249 7.5999
P 4.5662 5.1229 2.6377
P 5.4880 1.3619 2.4114
P 1.8841 5.2859 7.3736
O -5.1686 6.8174 7.7894
O -1.5647 13.1261 2.8272
O -0.5127 8.2986 1.6468
O -4.1167 11.6449 6.6090
O -5.7550 1.9838 8.9128
O -2.1510 4.6640 3.9505
O -1.5363 8.1558 4.0247
O -5.1403 11.7877 8.9869
O -0.6578 2.1873 2.9611
O -4.2617 4.4605 7.9234
O -4.5504 9.1166 8.4461
O -0.9464 10.8269 3.4839
O -2.9662 7.7295 6.9947
O 0.6377 12.2141 2.0325
O 1.6121 9.3860 1.0372
O -1.9919 10.5575 5.9995
O -1.6946 2.1530 5.8280
O 1.9093 4.4948 0.8657
O 1.5679 6.9039 1.4017
O -2.0360 13.0396 6.3640
O -3.0365 1.5163 7.9298
O 0.5675 5.1315 2.9676
O 2.3798 1.7921 1.5241
O -1.2241 4.8557 6.4863
O 1.2995 8.4399 3.4382
O -2.3044 11.5036 8.4004
O -0.4921 8.1641 6.9569
O 3.1119 11.7794 1.9946
O 2.1114 0.2561 3.5605
O -1.4925 6.3918 8.5227
O -1.8340 8.8008 9.0587
O 1.7700 11.1427 4.0965
O 2.0673 2.7382 3.9250
O -1.5367 3.9097 8.8872
O -0.5623 1.0816 7.8920
O 3.0416 5.5662 2.9297
O 1.0218 2.4687 6.4405
O 4.6257 4.1791 1.4783
O 4.3371 8.8351 2.0011
O 0.7332 11.1084 6.9633
O 5.2157 1.5079 0.9376
O 1.6117 5.1399 5.8998
O 2.2264 8.6317 5.9739
O 5.8304 11.3118 1.0117
O 4.1921 1.6507 3.3154
O 0.5881 4.9971 8.2777
O 1.6401 0.1695 7.0973
O 5.2440 6.4783 2.1350
```

Results
- space group = No. 14
- ΔE_f (raw) (eV/atom) = -2.43
- theoretical density (g cm⁻³) = 3.4

(16)
DFT (PBE-GGA) results for a geometry-optimized NiB2W structure.

Cell and atoms, written as extended XYZ:
```
16
Lattice="6.0656 0.0000 0.0000 0.0000 3.0621 0.0000 0.0000 0.0000 8.0045" Properties=species:S:1:pos:R:3 pbc="T T T"
Ni 0.0382 0.7655 0.9566
Ni 2.9945 2.2965 4.9589
Ni 3.0710 0.7655 3.0456
Ni 6.0273 2.2965 7.0478
B 1.0736 0.7655 2.6433
B 1.4331 0.7655 7.3736
B 1.5996 2.2965 3.3714
B 1.9592 2.2965 6.6456
B 4.1064 0.7655 1.3589
B 4.4659 0.7655 4.6330
B 4.6324 2.2965 0.6308
B 4.9920 2.2965 5.3611
W 0.7626 0.7655 4.9991
W 2.2702 2.2965 0.9969
W 3.7953 0.7655 7.0076
W 5.3030 2.2965 3.0053
```

Results
- ΔE to the lowest computed polymorph (eV/f.u.) = 0.000
- formation energy (eV/atom) = -0.334
- space group = No. 62
- theoretical density (g cm⁻³) = 11.8

(17)
DFT (PBE-GGA) results for a geometry-optimized PrCdTe2 structure.

Cell and atoms, written as extended XYZ:
```
4
Lattice="2.2881 1.3211 9.2980 -2.2881 1.3211 9.2980 0.0000 -2.6421 9.2980" Properties=species:S:1:pos:R:3 pbc="T T T"
Pr 0.0000 0.0000 0.0000
Cd 0.0000 0.0000 13.9470
Te 0.0000 0.0000 11.0968
Te 0.0000 0.0000 16.7973
```

Results
- ΔE to the lowest computed polymorph (eV/f.u.) = 0.283
- space group = No. 166
- ΔE_f (raw) (eV/atom) = -0.75
- theoretical density (g cm⁻³) = 5.0

(18)
DFT (PBE-GGA) results for a geometry-optimized NaCa2Ta structure.

Cell and atoms, written as extended XYZ:
```
4
Lattice="0.0000 3.9400 3.9400 3.9400 0.0000 3.9400 3.9400 3.9400 0.0000" Properties=species:S:1:pos:R:3 pbc="T T T"
Na 0.0000 0.0000 0.0000
Ca 1.9700 1.9700 1.9700
Ca 5.9101 5.9101 5.9101
Ta 3.9400 3.9400 3.9400
```

Results
- ΔE to the lowest computed polymorph (eV/f.u.) = 0.000
- formation energy (eV/atom) = 0.852
- space group = No. 225
- theoretical density (g cm⁻³) = 3.9

(19)
DFT (PBE-GGA) results for a geometry-optimized AcNdIr structure.

Cell and atoms, written as extended XYZ:
```
3
Lattice="0.0000 3.5983 3.5983 3.5983 0.0000 3.5983 3.5983 3.5983 0.0000" Properties=species:S:1:pos:R:3 pbc="T T T"
Ac 0.0000 0.0000 0.0000
Nd 3.5983 3.5983 3.5983
Ir 1.7992 1.7992 1.7992
```

Results
- ΔE to the lowest computed polymorph (eV/f.u.) = 0.169
- formation energy (eV/atom) = -0.482
- space group = No. 216
- theoretical density (g cm⁻³) = 10.0

(20)
DFT (PBE-GGA) results for a geometry-optimized Ba2TaZn structure.

Cell and atoms, written as extended XYZ:
```
4
Lattice="3.5901 0.0000 0.0000 0.0000 4.9177 0.0000 -1.7895 0.0000 7.5152" Properties=species:S:1:pos:R:3 pbc="T T T"
Ba 0.0000 0.0000 0.0000
Ba -0.0033 2.4588 4.4874
Ta 1.7963 2.4588 1.6460
Zn 1.7909 0.0000 2.8083
```

Results
- formation energy (eV/atom) = 0.666
- space group = No. 6
- theoretical density (g cm⁻³) = 6.5

(21)
DFT (PBE-GGA) results for a geometry-optimized DyYZnAu structure.

Cell and atoms, written as extended XYZ:
```
4
Lattice="0.0000 3.5923 3.5923 3.5923 0.0000 3.5923 3.5923 3.5923 0.0000" Properties=species:S:1:pos:R:3 pbc="T T T"
Dy 0.0000 0.0000 0.0000
Y 3.5923 3.5923 3.5923
Zn 5.3885 5.3885 5.3885
Au 1.7962 1.7962 1.7962
```

Results
- formation energy (eV/atom) = -0.599
- space group = No. 216
- theoretical density (g cm⁻³) = 9.2

(22)
DFT (PBE-GGA) results for a geometry-optimized HgPdI3 structure.

Cell and atoms, written as extended XYZ:
```
5
Lattice="5.5401 0.0000 0.0000 0.0000 5.5401 0.0000 0.0000 0.0000 5.5401" Properties=species:S:1:pos:R:3 pbc="T T T"
Hg 0.0000 0.0000 0.0000
Pd 2.7701 2.7701 2.7701
I 0.0000 2.7701 2.7701
I 2.7701 0.0000 2.7701
I 2.7701 2.7701 0.0000
```

Results
- ΔE to the lowest computed polymorph (eV/f.u.) = 0.682
- space group = No. 221
- ΔE_f (raw) (eV/atom) = 0.04
- theoretical density (g cm⁻³) = 6.7

(23)
DFT (PBE-GGA) results for a geometry-optimized CrCuRu2 structure.

Cell and atoms, written as extended XYZ:
```
4
Lattice="2.6770 0.0000 0.0000 0.0000 3.7851 0.0000 0.0000 0.0000 5.1666" Properties=species:S:1:pos:R:3 pbc="T T T"
Cr 0.0000 0.0000 0.0000
Cu 1.3385 1.8926 1.2443
Ru 0.0000 0.0000 2.5274
Ru 1.3385 1.8926 3.8502
```

Results
- formation energy (eV/atom) = 0.208
- space group = No. 25
- theoretical density (g cm⁻³) = 10.1

(24)
DFT (PBE-GGA) results for a geometry-optimized PuAgAu4 structure.

Cell and atoms, written as extended XYZ:
```
6
Lattice="0.0000 3.9453 3.9453 3.9453 0.0000 3.9453 3.9453 3.9453 0.0000" Properties=species:S:1:pos:R:3 pbc="T T T"
Pu 0.0000 0.0000 0.0000
Ag 1.9727 1.9727 1.9727
Au 4.9284 2.9622 2.9622
Au 2.9622 4.9284 2.9622
Au 2.9622 2.9622 4.9284
Au 4.9284 4.9284 4.9284
```

Results
- ΔE to the lowest computed polymorph (eV/f.u.) = 0.000
- formation energy (eV/atom) = -0.231
- space group = No. 216
- theoretical density (g cm⁻³) = 15.4